No. 1
The following is a DFT calculation (PBE-GGA) of a relaxed structure of CrNi3.

Results
Crystal system: hexagonal
Energy relative to the elements, eV per atom: 0.045
Magnetization, μB per formula unit: 1.10
Final energy, eV per atom: -6.697

abc: 2.503 2.503 8.127
angles: 90.00 90.00 120.00
Fractional coordinates of all 4 atoms:
Cr 0.000 0.000 0.000
Ni 0.333 0.667 0.754
Ni 0.000 0.000 0.500
Ni 0.333 0.667 0.246

---

No. 2
The following is a DFT calculation (PBE-GGA) of a relaxed structure of RbLiMn2I6.

Results
Crystal system: monoclinic
Formation energy from raw total energies, eV/atom: -0.79
Magnetization, μB per formula unit: 10.00
Final energy, eV per atom: -3.839

abc: 10.585 10.585 8.291
angles: 105.43 105.43 83.98
Fractional coordinates of all 20 atoms:
I 0.508 0.695 0.104
I 0.108 0.171 0.526
I 0.829 0.892 0.974
I 0.305 0.492 0.396
I 0.171 0.108 0.026
I 0.883 0.410 0.180
I 0.410 0.883 0.680
I 0.892 0.829 0.474
I 0.492 0.305 0.896
I 0.117 0.590 0.820
I 0.590 0.117 0.320
I 0.695 0.508 0.604
Li 0.649 0.351 0.250
Li 0.351 0.649 0.750
Mn 0.313 0.124 0.798
Mn 0.124 0.313 0.298
Mn 0.876 0.687 0.702
Mn 0.687 0.876 0.202
Rb 0.185 0.815 0.250
Rb 0.815 0.185 0.750

---

No. 3
The following is a DFT calculation (PBE-GGA) of a relaxed structure of Al2CdSi.

Results
Crystal system: trigonal
Formation energy from raw total energies, eV/atom: 0.21
Magnetization, μB per formula unit: 0.00
Final energy, eV per atom: -3.246

abc: 9.250 9.250 9.250
angles: 18.87 18.87 18.87
Fractional coordinates of all 4 atoms:
Al 0.490 0.490 0.490
Al 0.010 0.010 0.010
Cd 0.250 0.250 0.250
Si 0.750 0.750 0.750

---

No. 4
The following is a DFT calculation (PBE-GGA) of a relaxed structure of YPuPb2.

Results
Crystal system: tetragonal
Energy relative to the elements, eV per atom: -0.288
Magnetization, μB per formula unit: 6.43
Final energy, eV per atom: -7.341

abc: 4.551 4.986 4.986
angles: 90.00 90.00 90.00
Fractional coordinates of all 4 atoms:
Pb 0.000 0.500 0.000
Pb 0.000 0.000 0.500
Y 0.500 0.000 0.000
Pu 0.500 0.500 0.500

---

- The highest final energy belongs to which entry?
  Al2CdSi